Entry 1:
# CdFe2Ni GGA-PBE optimized geometry
data_CdFe2Ni
_space_group_name_H-M_alt 'R -3 m'
_space_group_IT_number 166
_space_group_name_Hall '-R 3 2"'
_cell_length_a 2.6928
_cell_length_b 2.6928
_cell_length_c 26.6226
_cell_angle_alpha 90.00
_cell_angle_beta 90.00
_cell_angle_gamma 120.00
loop_
_atom_site_label
_atom_site_fract_x
_atom_site_fract_y
_atom_site_fract_z
Cd1 0.0000 0.0000 0.0000
Fe1 0.0000 0.0000 0.2411
Ni1 0.0000 0.0000 0.5000
# crystal system = trigonal
# formation enthalpy at 0 K = 0.2854 eV per atom

=====

Entry 2:
# Hf3TiIn GGA-PBE optimized geometry
data_Hf3TiIn
_space_group_name_H-M_alt 'P m -3 m'
_space_group_IT_number 221
_space_group_name_Hall '-P 4 2 3'
_cell_length_a 4.9426
_cell_length_b 4.9426
_cell_length_c 4.9426
_cell_angle_alpha 90.00
_cell_angle_beta 90.00
_cell_angle_gamma 90.00
loop_
_atom_site_label
_atom_site_fract_x
_atom_site_fract_y
_atom_site_fract_z
Hf1 0.0000 0.0000 0.5000
Ti1 0.0000 0.0000 0.0000
In1 0.5000 0.5000 0.5000
# polymorph energy (0 for the lowest one) = 879 meV per atom
# crystal system = cubic
# formation enthalpy at 0 K = 0.8166 eV per atom

=====

no.,theoretical density (g/cm3)
1,8.43
2,9.60